# SrAg6Pd2

A relaxed structure of SrAg6Pd2 (PBE-GGA, the Alexandria database).

The structure in CIF format:
```
data_SrAg6Pd2
_chemical_formula_sum 'Sr2 Ag12 Pd4'
_space_group_name_H-M_alt 'I m m m'
_space_group_IT_number 71
_space_group_name_Hall '-I 2 2'
_cell_length_a 4.9997
_cell_length_b 5.7247
_cell_length_c 13.0774
_cell_angle_alpha 90.00
_cell_angle_beta 90.00
_cell_angle_gamma 90.00
loop_
_atom_site_label
_atom_site_fract_x
_atom_site_fract_y
_atom_site_fract_z
Sr1 0.0000 0.0000 0.0000
Ag1 0.0000 0.2262 0.5000
Ag2 0.0000 0.2465 0.2943
Pd1 0.0000 0.5000 0.1070
```

Computed properties:
As for the formation energy: 22 meV per atom. The density of states at the Fermi level comes out at 0.367 states/eV/atom.



# Zr2ScRe

A relaxed structure of Zr2ScRe (PBE-GGA, the Alexandria database).

The structure in CIF format:
```
data_Zr2ScRe
_chemical_formula_sum 'Zr4 Sc2 Re2'
_space_group_name_H-M_alt 'I -4 m 2'
_space_group_IT_number 119
_space_group_name_Hall 'I -4 -2'
_cell_length_a 4.1074
_cell_length_b 4.1074
_cell_length_c 9.5181
_cell_angle_alpha 90.00
_cell_angle_beta 90.00
_cell_angle_gamma 90.00
loop_
_atom_site_label
_atom_site_fract_x
_atom_site_fract_y
_atom_site_fract_z
Zr1 0.0000 0.0000 0.0000
Zr2 0.0000 0.5000 0.2500
Sc1 0.0000 0.0000 0.5000
Re1 0.0000 0.5000 0.7500
```

Computed properties:
As for the formation energy: 121 meV per atom. The density of states at the Fermi level comes out at 1.332 states/eV/atom.



# Mo2Pd2N

A relaxed structure of Mo2Pd2N (PBE-GGA, the Alexandria database).

The structure in CIF format:
```
data_Mo2Pd2N
_chemical_formula_sum 'Mo4 Pd4 N2'
_space_group_name_H-M_alt 'I 4/m m m'
_space_group_IT_number 139
_space_group_name_Hall '-I 4 2'
_cell_length_a 3.4484
_cell_length_b 3.4484
_cell_length_c 13.1546
_cell_angle_alpha 90.00
_cell_angle_beta 90.00
_cell_angle_gamma 90.00
loop_
_atom_site_label
_atom_site_fract_x
_atom_site_fract_y
_atom_site_fract_z
Mo1 0.0000 0.0000 0.0862
Pd1 0.0000 0.5000 0.2500
N1 0.0000 0.0000 0.5000
```

Computed properties:
The value obtained for the polymorph energy (0 for the lowest one) is 1.159 eV per atom. Its uncorrected formation energy is 1.1614 eV/atom. The density of states at the Fermi level comes out at 1.024 states/eV/atom.



# Rb2TlAs

A relaxed structure of Rb2TlAs (PBE-GGA, the Alexandria database).

The structure in CIF format:
```
data_Rb2TlAs
_chemical_formula_sum 'Rb4 Tl2 As2'
_space_group_name_H-M_alt 'P 1 21/m 1'
_space_group_IT_number 11
_cell_length_a 7.3626
_cell_length_b 4.5144
_cell_length_c 10.4527
_cell_angle_alpha 90.00
_cell_angle_beta 107.48
_cell_angle_gamma 90.00
loop_
_space_group_symop_operation_xyz
'x,y,z'
'-x,-y,-z'
'-x,y+1/2,-z'
'x,-y+1/2,z'
loop_
_atom_site_label
_atom_site_fract_x
_atom_site_fract_y
_atom_site_fract_z
Rb1 0.1966 0.2500 0.4139
Rb2 0.2559 0.7500 0.0622
Tl1 0.3533 0.7500 0.7239
As1 0.1519 0.2500 0.7816
```

Computed properties:
As for the formation energy: -300 meV per atom. The value obtained for the polymorph energy (0 for the lowest one) is 0.000 eV per atom. The density of states at the Fermi level comes out at 0.000 states/eV/atom.



# La2TlGaO5

A relaxed structure of La2TlGaO5 (PBE-GGA, the Alexandria database).

The structure in CIF format:
```
data_La2TlGaO5
_chemical_formula_sum 'La4 Tl2 Ga2 O10'
_space_group_name_H-M_alt 'P 4/m b m'
_space_group_IT_number 127
_space_group_name_Hall '-P 4 2ab'
_cell_length_a 6.9739
_cell_length_b 6.9739
_cell_length_c 5.8897
_cell_angle_alpha 90.00
_cell_angle_beta 90.00
_cell_angle_gamma 90.00
loop_
_atom_site_label
_atom_site_fract_x
_atom_site_fract_y
_atom_site_fract_z
La1 0.1826 0.3174 0.0000
Tl1 0.0000 0.0000 0.5000
Ga1 0.0000 0.5000 0.5000
O1 0.0000 0.0000 0.0000
O2 0.1306 0.6306 0.2590
```

Computed properties:
Its uncorrected formation energy is -2.3712 eV/atom. The density of states at the Fermi level comes out at 0.000 states/eV/atom.



# LuSc2O

A relaxed structure of LuSc2O (PBE-GGA, the Alexandria database).

The structure in CIF format:
```
data_LuSc2O
_chemical_formula_sum 'Lu1 Sc2 O1'
_space_group_name_H-M_alt 'P 4/m m m'
_space_group_IT_number 123
_space_group_name_Hall '-P 4 2'
_cell_length_a 2.9874
_cell_length_b 2.9874
_cell_length_c 8.1302
_cell_angle_alpha 90.00
_cell_angle_beta 90.00
_cell_angle_gamma 90.00
loop_
_atom_site_label
_atom_site_fract_x
_atom_site_fract_y
_atom_site_fract_z
Lu1 0.0000 0.0000 0.0000
Sc1 0.5000 0.5000 0.3273
O1 0.0000 0.0000 0.5000
```

Computed properties:
Its uncorrected formation energy is -0.8720 eV/atom. The density of states at the Fermi level comes out at 1.429 states/eV/atom.